No. 1
A plane-wave DFT calculation with PBE was carried out for a geometry-optimized TbCeHo structure.

Summary:
Excess energy over the best structure of this formula in the dataset   9 meV per atom

```
data_TbCeHo
_cell_length_a 3.520
_cell_length_b 3.520
_cell_length_c 14.905
_cell_angle_alpha 90.00
_cell_angle_beta 90.00
_cell_angle_gamma 90.00
_symmetry_space_group_name_H-M 'I 4 m m'
_symmetry_Int_Tables_number 107
_symmetry_space_group_name_Hall 'I 4 -2'
loop_
_atom_site_label
_atom_site_type_symbol
_atom_site_fract_x
_atom_site_fract_y
_atom_site_fract_z
Tb1 Tb 0.000 0.000 0.000
Ce1 Ce 0.000 0.000 0.336
Ho1 Ho 0.000 0.000 0.674
```

No. 2
A plane-wave DFT calculation with PBE was carried out for a geometry-optimized Tb5Ce2Ho5 structure.

```
data_Tb5Ce2Ho5
_cell_length_a 14.969
_cell_length_b 4.996
_cell_length_c 11.197
_cell_angle_alpha 90.00
_cell_angle_beta 116.49
_cell_angle_gamma 90.00
_symmetry_space_group_name_H-M 'C 1 2/m 1'
_symmetry_Int_Tables_number 12
loop_
_symmetry_equiv_pos_as_xyz
'x,y,z'
'-x,-y,-z'
'-x,y,-z'
'x,-y,z'
'x+1/2,y+1/2,z'
'-x+1/2,-y+1/2,-z'
'-x+1/2,y+1/2,-z'
'x+1/2,-y+1/2,z'
loop_
_atom_site_label
_atom_site_type_symbol
_atom_site_fract_x
_atom_site_fract_y
_atom_site_fract_z
Tb1 Tb 0.000 0.000 0.000
Tb2 Tb 0.082 0.000 0.749
Tb3 Tb 0.250 0.000 0.253
Ce1 Ce 0.169 0.000 0.499
Ho1 Ho 0.000 0.500 0.500
Ho2 Ho 0.084 0.500 0.252
Ho3 Ho 0.168 0.500 0.001
```

No. 3
A plane-wave DFT calculation with PBE was carried out for a geometry-optimized Tb2CeHo structure.

Summary:
Excess energy over the best structure of this formula in the dataset   0 meV per atom

```
data_Tb2CeHo
_cell_length_a 3.5333
_cell_length_b 3.5333
_cell_length_c 34.5868
_cell_angle_alpha 90.00
_cell_angle_beta 90.00
_cell_angle_gamma 120.00
_symmetry_space_group_name_H-M 'R 3 m'
_symmetry_Int_Tables_number 160
_symmetry_space_group_name_Hall 'R 3 -2"'
loop_
_atom_site_label
_atom_site_type_symbol
_atom_site_fract_x
_atom_site_fract_y
_atom_site_fract_z
Tb1 Tb 0.0000 0.0000 0.0000
Tb2 Tb 0.0000 0.0000 0.1671
Ce1 Ce 0.0000 0.0000 0.4176
Ho1 Ho 0.0000 0.0000 0.5834
```

Calculated formation energy from the elements, 0.2; 0.6; 0.2 eV per formula unit (same order as the records).